Record 1
Entry from the Alexandria database: Ba2TiCd after structural relaxation (GGA-PBE).

D(E_F)	1.445	states/eV per atom
formation energy from the elements	0.589	eV/atom
space group	I-42d
total DFT energy (no corrections)	-2.575	eV per atom

Unit cell a=9.337 b=9.337 c=7.456 alpha=51.24 beta=51.24 gamma=90.00
Fractional coordinates of all 8 atoms:
Ti1 0.500 0.500 0.000
Ti2 0.250 0.750 0.500
Ba1 0.630 0.125 0.250
Ba2 0.120 0.625 0.250
Ba3 0.375 0.370 0.750
Ba4 0.875 0.880 0.750
Cd1 0.000 0.000 0.000
Cd2 0.750 0.250 0.500


Record 2
Entry from the Alexandria database: CaLa2Nd2Dy2 after structural relaxation (GGA-PBE).

D(E_F)	1.645	states/eV per atom
formation energy from the elements	0.058	eV/atom
space group	C2/m
total DFT energy (no corrections)	-4.313	eV per atom

Unit cell a=5.234 b=6.384 c=8.224 alpha=97.78 beta=90.00 gamma=114.20
Fractional coordinates of all 7 atoms:
Ca1 0.000 0.000 0.000
La1 0.144 0.288 0.432
La2 0.856 0.712 0.568
Nd1 0.717 0.434 0.146
Nd2 0.283 0.566 0.854
Dy1 0.575 0.150 0.707
Dy2 0.425 0.850 0.293


Record 3
Entry from the Alexandria database: ZrVI6 after structural relaxation (GGA-PBE).

formation energy without anion corrections	-661	meV/atom
space group	C2/m
total DFT energy (no corrections)	-4.031	eV per atom

Unit cell a=6.994 b=7.904 c=7.904 alpha=127.52 beta=98.58 gamma=98.58
Fractional coordinates of all 8 atoms:
Zr1 0.000 0.000 0.000
V1 0.500 0.500 0.500
I1 0.744 0.599 0.887
I2 0.744 0.887 0.599
I3 0.256 0.113 0.401
I4 0.256 0.401 0.113
I5 0.751 0.248 0.248
I6 0.249 0.752 0.752


Record 4
Entry from the Alexandria database: Pm2SmGe2Pt7 after structural relaxation (GGA-PBE).

D(E_F)	0.485	states/eV per atom
formation energy from the elements	-0.953	eV/atom
space group	C2/m
total DFT energy (no corrections)	-6.432	eV per atom

Unit cell a=4.121 b=4.121 c=14.155 alpha=83.91 beta=83.91 gamma=89.30
Fractional coordinates of all 12 atoms:
Pm1 0.885 0.885 0.357
Pm2 0.115 0.115 0.643
Sm1 0.000 0.000 0.000
Ge1 0.594 0.594 0.744
Ge2 0.406 0.406 0.256
Pt1 0.500 0.500 0.000
Pt2 0.375 0.375 0.430
Pt3 0.625 0.625 0.570
Pt4 0.942 0.443 0.156
Pt5 0.443 0.942 0.156
Pt6 0.557 0.058 0.844
Pt7 0.058 0.557 0.844


Record 5
Entry from the Alexandria database: La4PrNd4 after structural relaxation (GGA-PBE).

D(E_F)	1.904	states/eV per atom
formation energy from the elements	0.015	eV/atom
space group	I4/mmm
total DFT energy (no corrections)	-4.825	eV per atom

Unit cell a=5.268 b=8.288 c=8.288 alpha=84.20 beta=71.47 gamma=71.47
Fractional coordinates of all 9 atoms:
La1 0.667 0.666 0.000
La2 0.333 0.334 0.000
La3 0.667 0.000 0.666
La4 0.333 0.000 0.334
Pr1 0.000 0.000 0.000
Nd1 0.665 0.334 0.335
Nd2 0.335 0.666 0.665
Nd3 0.000 0.665 0.334
Nd4 0.000 0.335 0.666


Record 6
Entry from the Alexandria database: FeGeAs after structural relaxation (GGA-PBE).

D(E_F)	0.560	states/eV per atom
formation energy from the elements	-0.072	eV/atom
space group	Pmn2_1
total DFT energy (no corrections)	-5.982	eV per atom

Unit cell a=2.786 b=5.629 c=5.960 alpha=90.00 beta=90.00 gamma=90.00
Fractional coordinates of all 6 atoms:
Fe1 0.500 0.739 0.999
Fe2 0.000 0.261 0.499
Ge1 0.000 0.062 0.133
Ge2 0.500 0.938 0.633
As1 0.000 0.431 0.870
As2 0.500 0.569 0.370


Record 7
Entry from the Alexandria database: BTe2AuI after structural relaxation (GGA-PBE).

D(E_F)	0.881	states/eV per atom
formation energy without anion corrections	895	meV/atom
space group	P4/mmm
total DFT energy (no corrections)	-2.662	eV per atom

Unit cell a=4.964 b=4.964 c=4.876 alpha=90.00 beta=90.00 gamma=90.00
Fractional coordinates of all 5 atoms:
I1 0.000 0.000 0.500
B1 0.000 0.000 0.000
Te1 0.000 0.500 0.000
Te2 0.500 0.000 0.000
Au1 0.500 0.500 0.500


Record 8
Entry from the Alexandria database: Pr2Sn2Au3 after structural relaxation (GGA-PBE).

D(E_F)	0.592	states/eV per atom
formation energy from the elements	-0.620	eV/atom
space group	C2/m
total DFT energy (no corrections)	-4.533	eV per atom

Unit cell a=4.566 b=6.633 c=6.466 alpha=103.59 beta=90.00 gamma=110.13
Fractional coordinates of all 7 atoms:
Pr1 0.625 0.249 0.311
Pr2 0.375 0.751 0.689
Sn1 0.105 0.210 0.686
Sn2 0.895 0.790 0.314
Au1 0.267 0.534 0.159
Au2 0.000 0.000 0.000
Au3 0.733 0.466 0.841


Record 9
Entry from the Alexandria database: ZrCoBRu2 after structural relaxation (GGA-PBE).

D(E_F)	0.377	states/eV per atom
formation energy from the elements	-0.451	eV/atom
space group	P4/mmm
total DFT energy (no corrections)	-8.627	eV per atom

Unit cell a=4.139 b=4.139 c=3.893 alpha=90.00 beta=90.00 gamma=90.00
Fractional coordinates of all 5 atoms:
Ru1 0.000 0.500 0.000
Ru2 0.500 0.000 0.000
B1 0.000 0.000 0.000
Co1 0.000 0.000 0.500
Zr1 0.500 0.500 0.500


Record 10
Entry from the Alexandria database: CaPrMg2Au4 after structural relaxation (GGA-PBE).

D(E_F)	0.636	states/eV per atom
formation energy from the elements	-0.687	eV/atom
space group	R-3m
total DFT energy (no corrections)	-3.572	eV per atom

Unit cell a=5.020 b=5.020 c=8.585 alpha=73.00 beta=73.00 gamma=60.00
Fractional coordinates of all 8 atoms:
Ca1 0.500 0.500 0.500
Pr1 0.000 0.000 0.000
Mg1 0.752 0.752 0.745
Mg2 0.248 0.248 0.255
Au1 0.376 0.376 0.871
Au2 0.873 0.873 0.382
Au3 0.127 0.127 0.618
Au4 0.624 0.624 0.129


Record 11
Entry from the Alexandria database: LiSn4Rh2 after structural relaxation (GGA-PBE).

D(E_F)	0.609	states/eV per atom
formation energy from the elements	0.128	eV/atom
space group	I4/mmm
total DFT energy (no corrections)	-4.533	eV per atom

Unit cell a=4.878 b=4.878 c=7.382 alpha=70.71 beta=70.71 gamma=90.00
Fractional coordinates of all 7 atoms:
Rh1 0.395 0.395 0.210
Rh2 0.605 0.605 0.790
Sn1 0.198 0.198 0.604
Sn2 0.802 0.802 0.396
Sn3 0.000 0.500 0.000
Sn4 0.500 0.000 0.000
Li1 0.000 0.000 0.000


Record 12
Entry from the Alexandria database: Be2BSb after structural relaxation (GGA-PBE).

D(E_F)	0.528	states/eV per atom
formation energy without anion corrections	1246	meV/atom
space group	Fm-3m
total DFT energy (no corrections)	-3.317	eV per atom

Unit cell a=4.221 b=4.221 c=4.221 alpha=60.00 beta=60.00 gamma=60.00
Fractional coordinates of all 4 atoms:
Sb1 0.500 0.500 0.500
B1 0.000 0.000 0.000
Be1 0.250 0.250 0.250
Be2 0.750 0.750 0.750